Computed, not measured: Be3BiMo after structural relaxation at the PBE level of DFT.

For the density of states at the Fermi level, the calculation gives 1.89 states/eV/cell. The calculation puts the energy relative to the elements at 45.8 kcal/mol of atoms. For the final energy, the calculation gives -15.97 eV for the cell shown. For the energy above the most stable polymorph in this dataset, the calculation gives 91.3 kJ/mol of atoms.

The structure belongs to space group Pm-3m (No. 221); the cell edges are 4.653, 4.653 and 4.653 Å and the angles 90.00°, 90.00° and 90.00°. Symmetry generates all atoms from Be at (0.000, 0.000, 0.500), Bi at (0.000, 0.000, 0.000) and Mo at (0.500, 0.500, 0.500).